Computed, not measured: a relaxed Nb2Cu2Tc crystal at the PBE-GGA level of DFT.

POSCAR file:
```
Nb2Cu2Tc
1.0
-0.784 6.101 2.740
-2.375 -2.833 5.629
3.106 -0.155 1.233
Nb Tc Cu
4 2 4
Cartesian
-0.206 -0.902 4.945 Nb
-0.926 1.758 7.092 Nb
0.154 4.016 4.656 Nb
0.873 1.357 2.509 Nb
0.000 0.000 0.000 Tc
-1.579 1.634 4.184 Tc
-2.381 -0.181 5.977 Cu
-2.166 3.594 5.907 Cu
-0.778 3.450 2.392 Cu
-0.993 -0.325 2.462 Cu
```

ΔH_f (0 K)   0.1485 eV per atom
DOS(E_F)   0.92 states/eV/atom
Crystal system   tetragonal

Computed, not measured: a relaxed NbCu2Tc2 crystal at the PBE-GGA level of DFT.

POSCAR file:
```
NbCu2Tc2
1.0
7.301 0.000 0.000
0.000 7.301 0.000
0.000 0.000 2.765
Nb Tc Cu
2 4 4
Cartesian
0.000 0.000 0.000 Nb
3.650 3.650 0.000 Nb
2.803 6.453 0.000 Tc
6.453 4.498 0.000 Tc
4.498 0.848 0.000 Tc
0.848 2.803 0.000 Tc
1.305 4.955 1.383 Cu
4.955 5.996 1.383 Cu
5.996 2.346 1.383 Cu
2.346 1.305 1.383 Cu
```

ΔH_f (0 K)   0.3227 eV per atom
Energy above the lowest structure with this stoichiometry   34 meV/atom
DOS(E_F)   0.47 states/eV/atom
Crystal system   tetragonal

Computed, not measured: a relaxed NbCuTc2 crystal at the PBE-GGA level of DFT.

POSCAR file:
```
NbCuTc2
1.0
-3.395 0.596 2.719
-3.769 1.657 -1.525
-3.551 -2.561 -0.328
Nb Tc Cu
1 2 1
Cartesian
-5.358 -0.154 0.433 Nb
-2.679 -0.077 0.216 Tc
-8.036 -0.230 0.649 Tc
0.000 0.000 0.000 Cu
```

ΔH_f (0 K)   0.1521 eV per atom
Energy above the lowest structure with this stoichiometry   135 meV/atom
DOS(E_F)   1.12 states/eV/atom
Crystal system   cubic

Computed, not measured: a relaxed NbCuTc3 crystal at the PBE-GGA level of DFT.

POSCAR file:
```
NbCuTc3
1.0
4.422 0.000 0.000
0.000 4.422 0.000
0.000 0.000 4.422
Nb Tc Cu
1 3 1
Cartesian
2.211 2.211 2.211 Nb
0.000 2.211 0.000 Tc
0.000 0.000 2.211 Tc
2.211 0.000 0.000 Tc
0.000 0.000 0.000 Cu
```

ΔH_f (0 K)   1.4229 eV per atom
Energy above the lowest structure with this stoichiometry   0 meV/atom
DOS(E_F)   1.88 states/eV/atom
Crystal system   cubic

Computed, not measured: a relaxed Nb2CuTc2 crystal at the PBE-GGA level of DFT.

POSCAR file:
```
Nb2CuTc2
1.0
-6.677 -1.745 2.112
2.010 -6.901 0.650
0.829 0.530 3.060
Nb Tc Cu
4 4 2
Cartesian
0.671 -4.573 2.298 Nb
-2.308 -6.682 3.470 Nb
-4.509 -3.544 3.524 Nb
-1.531 -1.435 2.352 Nb
-0.670 -6.554 1.316 Tc
-4.447 -5.924 2.230 Tc
-3.997 -2.093 1.446 Tc
-0.221 -2.723 0.531 Tc
0.000 0.000 0.000 Cu
-2.334 -4.323 1.381 Cu
```

ΔH_f (0 K)   0.2230 eV per atom
DOS(E_F)   0.72 states/eV/atom
Crystal system   tetragonal

Computed, not measured: a relaxed TiNbCuTc crystal at the PBE-GGA level of DFT.

POSCAR file:
```
TiNbCuTc
1.0
4.439 0.000 0.000
2.219 3.844 0.000
2.219 1.281 3.624
Nb Tc Cu Ti
1 1 1 1
Cartesian
6.658 3.844 2.718 Nb
0.000 0.000 0.000 Tc
4.439 2.563 1.812 Cu
2.219 1.281 0.906 Ti
```

ΔH_f (0 K)   -0.1591 eV per atom
DOS(E_F)   1.17 states/eV/atom
Crystal system   cubic

Computed, not measured: a relaxed ZrNbCuTc crystal at the PBE-GGA level of DFT.

POSCAR file:
```
ZrNbCuTc
1.0
-2.969 -1.380 3.193
1.465 -0.951 4.226
-1.077 2.774 3.472
Nb Cu Tc Zr
1 1 1 1
Cartesian
-1.290 0.222 5.446 Nb
-0.645 0.111 2.723 Cu
-1.936 0.332 8.168 Tc
0.000 0.000 0.000 Zr
```

ΔH_f (0 K)   -0.1232 eV per atom
DOS(E_F)   1.04 states/eV/atom
Crystal system   cubic

Computed, not measured: a relaxed NbCu2Te6 crystal at the PBE-GGA level of DFT.

POSCAR file:
```
NbCu2Te6
1.0
6.732 -0.755 -0.731
1.107 8.558 -0.365
1.107 -0.088 8.565
Nb Cu Te
2 4 12
Cartesian
2.790 0.363 7.722 Nb
6.156 7.352 -0.253 Nb
3.621 4.669 6.537 Cu
1.959 1.408 3.379 Cu
5.325 3.046 0.932 Cu
6.987 6.307 4.089 Cu
4.425 5.307 4.153 Te
1.154 3.770 2.664 Te
4.520 2.408 3.316 Te
7.791 3.945 4.804 Te
6.027 -0.405 2.542 Te
6.285 4.810 7.590 Te
2.919 8.119 4.927 Te
2.661 2.905 -0.121 Te
1.702 6.615 -0.152 Te
3.878 8.030 1.218 Te
7.244 1.100 7.620 Te
5.068 -0.315 6.251 Te
```

ΔE_f (raw)   -0.033 eV/atom
DOS(E_F)   0.46 states/eV/atom
Crystal system   monoclinic

Computed, not measured: a relaxed NbCuTe5 crystal at the PBE-GGA level of DFT.

POSCAR file:
```
NbCuTe5
1.0
-3.419 6.871 1.407
-7.148 -1.091 2.934
-1.156 2.250 8.913
Nb Cu Te
2 2 10
Cartesian
-5.323 3.986 4.296 Nb
-6.400 4.044 8.957 Nb
0.000 0.000 0.000 Cu
-0.578 1.125 4.456 Cu
-8.056 4.273 4.304 Te
-6.989 2.703 6.399 Te
-8.392 5.915 8.661 Te
-4.161 6.467 3.821 Te
-5.495 1.342 2.946 Te
-6.228 6.689 10.307 Te
-7.562 1.564 9.433 Te
-3.331 2.115 4.592 Te
-4.734 5.327 6.854 Te
-3.667 3.758 8.950 Te
```

ΔE_f (raw)   -0.071 eV/atom
DOS(E_F)   0.06 states/eV/atom
Crystal system   monoclinic

Computed, not measured: a relaxed Nb3CuTe crystal at the PBE-GGA level of DFT.

POSCAR file:
```
Nb3CuTe
1.0
-3.580 -0.174 3.071
-1.480 -4.034 -1.954
2.696 -2.445 3.005
Nb Te Cu
3 1 1
Cartesian
-0.740 -2.017 -0.977 Nb
1.348 -1.223 1.503 Nb
-1.790 -0.087 1.535 Nb
-1.182 -3.326 2.061 Te
0.000 0.000 0.000 Cu
```

ΔE_f (raw)   0.922 eV/atom
Energy above the lowest structure with this stoichiometry   0 meV/atom
DOS(E_F)   1.24 states/eV/atom
Crystal system   cubic

Computed, not measured: a relaxed Nb2CuTe crystal at the PBE-GGA level of DFT.

POSCAR file:
```
Nb2CuTe
1.0
-1.817 1.309 5.188
-1.379 -5.409 0.882
4.246 -3.161 5.363
Nb Te Cu
4 2 2
Cartesian
-0.136 -0.728 4.376 Nb
-0.139 -3.927 2.857 Nb
1.902 -4.238 6.352 Nb
0.472 -5.627 9.279 Nb
0.000 0.000 0.000 Te
0.415 -1.951 6.793 Te
-1.598 -2.050 3.035 Cu
0.635 -5.309 4.640 Cu
```

ΔE_f (raw)   0.974 eV/atom
DOS(E_F)   0.73 states/eV/atom
Crystal system   tetragonal

Computed, not measured: a relaxed Nb3CuTe crystal at the PBE-GGA level of DFT.

POSCAR file:
```
Nb3CuTe
1.0
5.017 0.000 0.000
0.000 5.017 0.000
0.000 0.000 5.017
Nb Te Cu
3 1 1
Cartesian
0.000 2.509 0.000 Nb
0.000 0.000 2.509 Nb
2.509 0.000 0.000 Nb
0.000 0.000 0.000 Te
2.509 2.509 2.509 Cu
```

ΔE_f (raw)   1.658 eV/atom
Energy above the lowest structure with this stoichiometry   736 meV/atom
DOS(E_F)   2.31 states/eV/atom
Crystal system   cubic